*a*
Entry from Alexandria: crystalline NaYAg2 at its relaxed geometry (PBE).

Unit cell a=3.6162 b=3.6162 c=7.4608 alpha=90.00 beta=90.00 gamma=90.00
Space group P4/mmm (No. 123)
Unique sites:
Na (0.0000, 0.0000, 0.0000)
Y (0.0000, 0.0000, 0.5000)
Ag (0.5000, 0.5000, 0.2695)

## Properties
Total moment, μB per formula unit: 0.00

***

*b*
Entry from Alexandria: crystalline NaYAg2 at its relaxed geometry (PBE).

Unit cell a=7.9736 b=7.9736 c=6.2689 alpha=90.00 beta=90.00 gamma=90.00
Space group I-42d (No. 122)
Unique sites:
Na (0.0000, 0.0000, 0.0000)
Y (0.0000, 0.0000, 0.5000)
Ag (0.2355, 0.7500, 0.1250)

## Properties
Total moment, μB per formula unit: 0.00

***

Preferred: *a*; penalty for the next structure: 0.321 eV/atom.

***

*a*
Entry from Alexandria: crystalline NaY2Ag2 at its relaxed geometry (PBE).

Unit cell a=5.0381 b=5.0381 c=11.7044 alpha=90.00 beta=90.00 gamma=90.00
Space group I4/mmm (No. 139)
Unique sites:
Na (0.0000, 0.0000, 0.0000)
Y (0.0000, 0.5000, 0.2500)
Ag (0.0000, 0.0000, 0.3861)

## Properties
Total moment, μB per formula unit: 0.00

***

*b*
Entry from Alexandria: crystalline NaY2Ag2 at its relaxed geometry (PBE).

Unit cell a=8.3763 b=8.3763 c=3.7145 alpha=90.00 beta=90.00 gamma=90.00
Space group P4/mbm (No. 127)
Unique sites:
Na (0.0000, 0.0000, 0.0000)
Y (0.1599, 0.3401, 0.5000)
Ag (0.1316, 0.6316, 0.0000)

## Properties
Total moment, μB per formula unit: 0.00

***

Preferred: *b*; penalty for the next structure: 0.197 eV/atom.

***

*a*
Entry from Alexandria: crystalline NaYZrAg2 at its relaxed geometry (PBE).

Unit cell a=5.1778 b=5.1778 c=5.2847 alpha=90.00 beta=90.00 gamma=90.00
Space group P4/mmm (No. 123)
Unique sites:
Na (0.0000, 0.0000, 0.0000)
Y (0.5000, 0.5000, 0.0000)
Zr (0.0000, 0.0000, 0.5000)
Ag (0.0000, 0.5000, 0.5000)

## Properties
Total moment, μB per formula unit: 0.27

***

*b*
Entry from Alexandria: crystalline NaYZrAg2 at its relaxed geometry (PBE).

Unit cell a=4.8475 b=4.8475 c=5.2218 alpha=90.00 beta=90.00 gamma=90.00
Space group P4/mmm (No. 123)
Unique sites:
Na (0.0000, 0.0000, 0.0000)
Y (0.0000, 0.0000, 0.5000)
Zr (0.5000, 0.5000, 0.5000)
Ag (0.0000, 0.5000, 0.0000)

## Properties
Total moment, μB per formula unit: 1.43

***

Preferred: *b*; penalty for the next structure: 0.021 eV/atom.

***

*a*
Entry from Alexandria: crystalline NaZn2Ag9 at its relaxed geometry (PBE).

Unit cell a=11.3263 b=11.3263 c=7.1899 alpha=90.00 beta=90.00 gamma=90.00
Space group I4_1/amd (No. 141, origin choice 2)
Unique sites:
Na (0.0000, 0.2500, 0.3750)
Zn (0.0000, 0.0000, 0.0000)
Ag (0.0000, 0.2500, 0.8750)
Ag (0.1218, 0.0493, 0.6818)

## Properties
Total moment, μB per formula unit: 0.00

***

*b*
Entry from Alexandria: crystalline NaZn2Ag9 at its relaxed geometry (PBE).

Unit cell a=9.2248 b=9.2248 c=2.9592 alpha=90.00 beta=90.00 gamma=120.00
Space group P6/mmm (No. 191)
Unique sites:
Na (0.0000, 0.0000, 0.0000)
Zn (0.3333, 0.6667, 0.0000)
Ag (0.0000, 0.5000, 0.0000)
Ag (0.1818, 0.3636, 0.5000)

## Properties
Total moment, μB per formula unit: 0.00

***

Preferred: *b*; penalty for the next structure: 0.012 eV/atom.

***

*a*
Entry from Alexandria: crystalline NaZnAg3 at its relaxed geometry (PBE).

Unit cell a=4.9542 b=4.9542 c=4.9542 alpha=90.00 beta=90.00 gamma=90.00
Space group Pm-3m (No. 221)
Unique sites:
Na (0.0000, 0.0000, 0.0000)
Zn (0.5000, 0.5000, 0.5000)
Ag (0.0000, 0.5000, 0.5000)

## Properties
Total moment, μB per formula unit: 0.00

***

*b*
Entry from Alexandria: crystalline NaZnAg3 at its relaxed geometry (PBE).

Unit cell a=5.0008 b=5.0008 c=5.0008 alpha=90.00 beta=90.00 gamma=90.00
Space group Pm-3m (No. 221)
Unique sites:
Na (0.0000, 0.0000, 0.0000)
Zn (0.5000, 0.5000, 0.5000)
Ag (0.0000, 0.0000, 0.5000)

## Properties
Total moment, μB per formula unit: 0.00

***

*c*
Entry from Alexandria: crystalline NaZnAg3 at its relaxed geometry (PBE).

Unit cell a=5.8133 b=13.2505 c=5.2093 alpha=90.00 beta=90.00 gamma=90.00
Space group Cmcm (No. 63)
Unique sites:
Na (0.0000, 0.0935, 0.2500)
Zn (0.0000, 0.5000, 0.0000)
Ag (0.0000, 0.3242, 0.7500)
Ag (0.2480, 0.3524, 0.2500)

## Properties
Total moment, μB per formula unit: 0.00

***

Preferred: *c*; penalty for the next structure: 0.229 eV/atom.

***

*a*
Entry from Alexandria: crystalline NaZn2Ag at its relaxed geometry (PBE).

Unit cell a=6.6100 b=6.6100 c=6.6100 alpha=90.00 beta=90.00 gamma=90.00
Space group Fm-3m (No. 225)
Unique sites:
Na (0.0000, 0.0000, 0.0000)
Zn (0.2500, 0.2500, 0.2500)
Ag (0.0000, 0.0000, 0.5000)

## Properties
Total moment, μB per formula unit: 0.00

***

*b*
Entry from Alexandria: crystalline NaZn2Ag at its relaxed geometry (PBE).

Unit cell a=4.5155 b=7.7257 c=5.7298 alpha=90.00 beta=112.70 gamma=90.00
Space group P2_1/m (No. 11)
Unique sites:
Na (0.0194, 0.2500, 0.0424)
Zn (0.2605, 0.5834, 0.5216)
Ag (0.3042, 0.2500, 0.6094)

## Properties
Total moment, μB per formula unit: 0.00

***

Preferred: *b*; penalty for the next structure: 0.032 eV/atom.